Record 1
# La2Be | Alexandria via LeMat-Bulk | PBE-GGA | optimized geometry
# offset from the most stable computed form = 79.7 meV/atom
# crystal system = tetragonal
data_La2Be
_cell_length_a 13.700
_cell_length_b 13.700
_cell_length_c 13.700
_cell_angle_alpha 164.94
_cell_angle_beta 164.94
_cell_angle_gamma 21.36
_symmetry_space_group_name_H-M 'P 1'
_symmetry_Int_Tables_number 1
loop_
_symmetry_equiv_pos_as_xyz
'x,y,z'
loop_
_atom_site_label
_atom_site_type_symbol
_atom_site_fract_x
_atom_site_fract_y
_atom_site_fract_z
_atom_site_occupancy
La1 La 0.562 0.562 0.000 1
La2 La 0.438 0.438 0.000 1
La3 La 0.188 0.688 0.500 1
La4 La 0.312 0.812 0.500 1
Be1 Be 0.750 0.250 0.500 1
Be2 Be 0.000 0.000 0.000 1

=====

Record 2
# LaBe2 | Alexandria via LeMat-Bulk | PBE-GGA | optimized geometry
# offset from the most stable computed form = 944.8 meV/atom
# crystal system = cubic
data_LaBe2
_cell_length_a 6.534
_cell_length_b 6.534
_cell_length_c 6.534
_cell_angle_alpha 90.00
_cell_angle_beta 90.00
_cell_angle_gamma 90.00
_symmetry_space_group_name_H-M 'P 1'
_symmetry_Int_Tables_number 1
loop_
_symmetry_equiv_pos_as_xyz
'x,y,z'
loop_
_atom_site_label
_atom_site_type_symbol
_atom_site_fract_x
_atom_site_fract_y
_atom_site_fract_z
_atom_site_occupancy
Be1 Be 0.588 0.588 0.412 1
Be2 Be 0.412 0.412 0.588 1
Be3 Be 0.912 0.412 0.912 1
Be4 Be 0.912 0.088 0.412 1
Be5 Be 0.088 0.912 0.588 1
Be6 Be 0.088 0.588 0.088 1
Be7 Be 0.588 0.912 0.912 1
Be8 Be 0.412 0.088 0.088 1
La1 La 0.500 0.500 0.000 1
La2 La 0.000 0.000 0.000 1
La3 La 0.000 0.500 0.500 1
La4 La 0.500 0.000 0.500 1

=====

Record 3
# LaBe3 | Alexandria via LeMat-Bulk | PBE-GGA | optimized geometry
# offset from the most stable computed form = 101.3 meV/atom
# crystal system = hexagonal
data_LaBe3
_cell_length_a 6.489
_cell_length_b 6.489
_cell_length_c 3.606
_cell_angle_alpha 90.00
_cell_angle_beta 90.00
_cell_angle_gamma 120.00
_symmetry_space_group_name_H-M 'P 1'
_symmetry_Int_Tables_number 1
loop_
_symmetry_equiv_pos_as_xyz
'x,y,z'
loop_
_atom_site_label
_atom_site_type_symbol
_atom_site_fract_x
_atom_site_fract_y
_atom_site_fract_z
_atom_site_occupancy
La1 La 0.333 0.667 0.250 1
La2 La 0.667 0.333 0.750 1
Be1 Be 0.222 0.111 0.250 1
Be2 Be 0.111 0.889 0.750 1
Be3 Be 0.778 0.889 0.750 1
Be4 Be 0.111 0.222 0.750 1
Be5 Be 0.889 0.111 0.250 1
Be6 Be 0.889 0.778 0.250 1

=====

Record 4
# La2Be | Alexandria via LeMat-Bulk | PBE-GGA | optimized geometry
# offset from the most stable computed form = 19.7 meV/atom
# crystal system = hexagonal
data_La2Be
_cell_length_a 7.886
_cell_length_b 7.886
_cell_length_c 4.570
_cell_angle_alpha 90.00
_cell_angle_beta 90.00
_cell_angle_gamma 120.00
_symmetry_space_group_name_H-M 'P 1'
_symmetry_Int_Tables_number 1
loop_
_symmetry_equiv_pos_as_xyz
'x,y,z'
loop_
_atom_site_label
_atom_site_type_symbol
_atom_site_fract_x
_atom_site_fract_y
_atom_site_fract_z
_atom_site_occupancy
La1 La 0.721 0.721 0.000 1
La2 La 0.279 0.000 0.000 1
La3 La 0.000 0.607 0.500 1
La4 La 0.607 0.000 0.500 1
La5 La 0.000 0.279 0.000 1
La6 La 0.393 0.393 0.500 1
Be1 Be 0.667 0.333 0.000 1
Be2 Be 0.000 0.000 0.500 1
Be3 Be 0.333 0.667 0.000 1

=====

Record 5
# LiLa2Be | Alexandria via LeMat-Bulk | PBE-GGA | optimized geometry
# crystal system = monoclinic
data_LiLa2Be
_cell_length_a 5.064
_cell_length_b 5.064
_cell_length_c 6.608
_cell_angle_alpha 81.22
_cell_angle_beta 81.22
_cell_angle_gamma 40.14
_symmetry_space_group_name_H-M 'P 1'
_symmetry_Int_Tables_number 1
loop_
_symmetry_equiv_pos_as_xyz
'x,y,z'
loop_
_atom_site_label
_atom_site_type_symbol
_atom_site_fract_x
_atom_site_fract_y
_atom_site_fract_z
_atom_site_occupancy
Li1 Li 0.750 0.750 0.750 1
Be1 Be 0.250 0.250 0.250 1
La1 La 0.515 0.515 0.461 1
La2 La 0.985 0.985 0.039 1

=====

Record 6
# LiLaBe4 | Alexandria via LeMat-Bulk | PBE-GGA | optimized geometry
# crystal system = cubic
data_LiLaBe4
_cell_length_a 4.938
_cell_length_b 4.938
_cell_length_c 4.938
_cell_angle_alpha 60.00
_cell_angle_beta 60.00
_cell_angle_gamma 60.00
_symmetry_space_group_name_H-M 'P 1'
_symmetry_Int_Tables_number 1
loop_
_symmetry_equiv_pos_as_xyz
'x,y,z'
loop_
_atom_site_label
_atom_site_type_symbol
_atom_site_fract_x
_atom_site_fract_y
_atom_site_fract_z
_atom_site_occupancy
Li1 Li 0.000 0.000 0.000 1
Be1 Be 0.369 0.369 0.892 1
Be2 Be 0.892 0.369 0.369 1
Be3 Be 0.369 0.369 0.369 1
Be4 Be 0.369 0.892 0.369 1
La1 La 0.750 0.750 0.750 1

=====

Record 7
# Li4LaBe | Alexandria via LeMat-Bulk | PBE-GGA | optimized geometry
# crystal system = cubic
data_Li4LaBe
_cell_length_a 5.447
_cell_length_b 5.447
_cell_length_c 5.447
_cell_angle_alpha 60.00
_cell_angle_beta 60.00
_cell_angle_gamma 60.00
_symmetry_space_group_name_H-M 'P 1'
_symmetry_Int_Tables_number 1
loop_
_symmetry_equiv_pos_as_xyz
'x,y,z'
loop_
_atom_site_label
_atom_site_type_symbol
_atom_site_fract_x
_atom_site_fract_y
_atom_site_fract_z
_atom_site_occupancy
Li1 Li 0.379 0.379 0.864 1
Li2 Li 0.379 0.864 0.379 1
Li3 Li 0.379 0.379 0.379 1
Li4 Li 0.864 0.379 0.379 1
La1 La 0.000 0.000 0.000 1
Be1 Be 0.750 0.750 0.750 1

=====

Record 8
# LiLa2Be | Alexandria via LeMat-Bulk | PBE-GGA | optimized geometry
# crystal system = tetragonal
data_LiLa2Be
_cell_length_a 3.513
_cell_length_b 3.513
_cell_length_c 8.078
_cell_angle_alpha 90.00
_cell_angle_beta 90.00
_cell_angle_gamma 89.99
_symmetry_space_group_name_H-M 'P 1'
_symmetry_Int_Tables_number 1
loop_
_symmetry_equiv_pos_as_xyz
'x,y,z'
loop_
_atom_site_label
_atom_site_type_symbol
_atom_site_fract_x
_atom_site_fract_y
_atom_site_fract_z
_atom_site_occupancy
La1 La 0.000 0.000 0.938 1
La2 La 0.500 0.500 0.290 1
Be1 Be 0.500 0.500 0.704 1
Li1 Li 0.000 0.000 0.568 1

=====

Record 9
# LiLa2Be | Alexandria via LeMat-Bulk | PBE-GGA | optimized geometry
# crystal system = orthorhombic
data_LiLa2Be
_cell_length_a 6.209
_cell_length_b 6.209
_cell_length_c 5.085
_cell_angle_alpha 65.80
_cell_angle_beta 65.80
_cell_angle_gamma 33.61
_symmetry_space_group_name_H-M 'P 1'
_symmetry_Int_Tables_number 1
loop_
_symmetry_equiv_pos_as_xyz
'x,y,z'
loop_
_atom_site_label
_atom_site_type_symbol
_atom_site_fract_x
_atom_site_fract_y
_atom_site_fract_z
_atom_site_occupancy
La1 La 0.961 0.961 0.039 1
La2 La 0.764 0.764 0.735 1
Be1 Be 0.219 0.219 0.282 1
Li1 Li 0.556 0.556 0.444 1

=====

Record 10
# LiLa2Be | Alexandria via LeMat-Bulk | PBE-GGA | optimized geometry
# crystal system = tetragonal
data_LiLa2Be
_cell_length_a 8.369
_cell_length_b 8.369
_cell_length_c 6.699
_cell_angle_alpha 51.35
_cell_angle_beta 51.35
_cell_angle_gamma 90.00
_symmetry_space_group_name_H-M 'P 1'
_symmetry_Int_Tables_number 1
loop_
_symmetry_equiv_pos_as_xyz
'x,y,z'
loop_
_atom_site_label
_atom_site_type_symbol
_atom_site_fract_x
_atom_site_fract_y
_atom_site_fract_z
_atom_site_occupancy
La1 La 0.082 0.625 0.250 1
La2 La 0.375 0.332 0.750 1
La3 La 0.668 0.125 0.250 1
La4 La 0.875 0.918 0.750 1
Be1 Be 0.750 0.250 0.500 1
Be2 Be 0.000 0.000 0.000 1
Li1 Li 0.250 0.750 0.500 1
Li2 Li 0.500 0.500 0.000 1

=====

Record 11
# LiLa2Be | Alexandria via LeMat-Bulk | PBE-GGA | optimized geometry
# crystal system = trigonal
data_LiLa2Be
_cell_length_a 10.266
_cell_length_b 10.266
_cell_length_c 10.266
_cell_angle_alpha 20.38
_cell_angle_beta 20.38
_cell_angle_gamma 20.38
_symmetry_space_group_name_H-M 'P 1'
_symmetry_Int_Tables_number 1
loop_
_symmetry_equiv_pos_as_xyz
'x,y,z'
loop_
_atom_site_label
_atom_site_type_symbol
_atom_site_fract_x
_atom_site_fract_y
_atom_site_fract_z
_atom_site_occupancy
La1 La 0.484 0.484 0.484 1
La2 La 0.016 0.016 0.016 1
Be1 Be 0.750 0.750 0.750 1
Li1 Li 0.250 0.250 0.250 1

=====

Record 12
# LiLa2Be | Alexandria via LeMat-Bulk | PBE-GGA | optimized geometry
# crystal system = monoclinic
data_LiLa2Be
_cell_length_a 4.739
_cell_length_b 3.484
_cell_length_c 6.356
_cell_angle_alpha 74.02
_cell_angle_beta 90.00
_cell_angle_gamma 90.00
_symmetry_space_group_name_H-M 'P 1'
_symmetry_Int_Tables_number 1
loop_
_symmetry_equiv_pos_as_xyz
'x,y,z'
loop_
_atom_site_label
_atom_site_type_symbol
_atom_site_fract_x
_atom_site_fract_y
_atom_site_fract_z
_atom_site_occupancy
La1 La 0.500 0.282 0.313 1
La2 La 0.000 0.970 0.935 1
Be1 Be 0.500 0.567 0.740 1
Li1 Li 0.000 0.681 0.512 1

=====

Number 1: energy relative to the elements 0.2196 eV/atom, E_tot -4.307 eV per atom. Number 2: energy relative to the elements 1.0204 eV/atom, E_tot -3.106 eV per atom. Number 3: energy relative to the elements 0.0902 eV/atom, E_tot -3.936 eV per atom. Number 4: energy relative to the elements 0.1596 eV/atom, E_tot -4.367 eV per atom. Number 5: energy relative to the elements 0.3233 eV/atom, E_tot -3.550 eV per atom. Number 6: energy relative to the elements 0.2622 eV/atom, E_tot -3.362 eV per atom. Number 7: energy relative to the elements 0.2172 eV/atom, E_tot -2.501 eV per atom. Number 8: energy relative to the elements 0.2582 eV/atom, E_tot -3.616 eV per atom. Number 9: energy relative to the elements 0.1887 eV/atom, E_tot -3.685 eV per atom. Number 10: energy relative to the elements 0.4462 eV/atom, E_tot -3.428 eV per atom. Number 11: energy relative to the elements 0.2793 eV/atom, E_tot -3.594 eV per atom. Number 12: energy relative to the elements 0.2208 eV/atom, E_tot -3.653 eV per atom.